(1)
Entry from Alexandria via LeMat-Bulk: a relaxed ZrSc2Se crystal (PBE).

The space group is P2/m (No. 10) and the conventional cell measures 5.090, 3.372 and 5.243 Å, with angles of 90.00, 110.33 and 90.00 degrees. The asymmetric unit holds Zr at (0.000, 0.000, 0.000), Sc at (0.500, 0.000, 0.500), Sc at (0.500, 0.500, 0.000) and Se at (0.000, 0.500, 0.500).

The value obtained for the spin magnetization is 0.000 μB/atom. The calculation puts the raw formation energy at -9.293 kcal/mol of atoms.



(2)
Entry from Alexandria via LeMat-Bulk: a relaxed Ho8ErSc6 crystal (PBE).

The space group is P-3 (No. 147) and the conventional cell measures 9.0070, 9.0070 and 6.3400 Å, with angles of 90.00, 90.00 and 120.00 degrees. The asymmetric unit holds Ho at (0.0381, 0.3466, 0.3911), Ho at (0.3333, 0.6667, 0.7191), Er at (0.0000, 0.0000, 0.0000) and Sc at (0.0697, 0.6715, 0.0965).

The value obtained for the spin magnetization is 0.000 μB/atom. The calculation puts the formation energy at 24 kJ/mol of atoms. Its polymorph energy (0 for the lowest one) is 0.89 eV per formula unit.



(3)
Entry from Alexandria via LeMat-Bulk: a relaxed LiBiH3 crystal (PBE).

The space group is Pm-3m (No. 221) and the conventional cell measures 3.706, 3.706 and 3.706 Å, with angles of 90.00, 90.00 and 90.00 degrees. The asymmetric unit holds Li at (0.000, 0.000, 0.000), Bi at (0.500, 0.500, 0.500) and H at (0.000, 0.000, 0.500).

The value obtained for the spin magnetization is 0.000 μB/atom. Its polymorph energy (0 for the lowest one) is 0.00 eV per formula unit.



(4)
Entry from Alexandria via LeMat-Bulk: a relaxed GdPuAgHg crystal (PBE).

The space group is F-43m (No. 216) and the conventional cell measures 7.463, 7.463 and 7.463 Å, with angles of 90.00, 90.00 and 90.00 degrees. The asymmetric unit holds Gd at (0.000, 0.000, 0.000), Pu at (0.000, 0.000, 0.500), Ag at (0.250, 0.250, 0.250) and Hg at (0.250, 0.250, 0.750).

The value obtained for the spin magnetization is 0.321 μB/atom. The calculation puts the formation energy at -15 kJ/mol of atoms.



(5)
Entry from Alexandria via LeMat-Bulk: a relaxed Sr3InP crystal (PBE).

The space group is Pm-3m (No. 221) and the conventional cell measures 5.852, 5.852 and 5.852 Å, with angles of 90.00, 90.00 and 90.00 degrees. The asymmetric unit holds Sr at (0.000, 0.000, 0.500), In at (0.500, 0.500, 0.500) and P at (0.000, 0.000, 0.000).

The value obtained for the spin magnetization is 0.000 μB/atom. The calculation puts the formation energy at -56 kJ/mol of atoms. Its polymorph energy (0 for the lowest one) is 0.46 eV per formula unit.



(6)
Entry from Alexandria via LeMat-Bulk: a relaxed Ce3Ga5S12 crystal (PBE).

The space group is Ia-3d (No. 230) and the conventional cell measures 15.239, 15.239 and 15.239 Å, with angles of 90.00, 90.00 and 90.00 degrees. The asymmetric unit holds Ce at (0.000, 0.250, 0.125), Ga at (0.000, 0.000, 0.000), Ga at (0.000, 0.250, 0.375) and S at (0.028, 0.059, 0.650).

The value obtained for the spin magnetization is 0.125 μB/atom. The calculation puts the raw formation energy at -26.333 kcal/mol of atoms.



(7)
Entry from Alexandria via LeMat-Bulk: a relaxed Pa2BOs crystal (PBE).

The space group is R-3m (No. 166, hexagonal axes) and the conventional cell measures 3.2581, 3.2581 and 25.2755 Å, with angles of 90.00, 90.00 and 120.00 degrees. The asymmetric unit holds Pa at (0.0000, 0.0000, 0.1024), B at (0.0000, 0.0000, 0.5000) and Os at (0.0000, 0.0000, 0.0000).

The value obtained for the spin magnetization is 0.000 μB/atom. The calculation puts the formation energy at 41 kJ/mol of atoms. Its polymorph energy (0 for the lowest one) is 2.65 eV per formula unit.



(8)
Entry from Alexandria via LeMat-Bulk: a relaxed YPt2Rh crystal (PBE).

The space group is I4/mmm (No. 139) and the conventional cell measures 4.088, 4.088 and 8.378 Å, with angles of 90.00, 90.00 and 90.00 degrees. The asymmetric unit holds Y at (0.000, 0.000, 0.000), Pt at (0.000, 0.500, 0.250) and Rh at (0.000, 0.000, 0.500).

The value obtained for the spin magnetization is 0.000 μB/atom. The calculation puts the formation energy at -68 kJ/mol of atoms. Its polymorph energy (0 for the lowest one) is 0.50 eV per formula unit.



(9)
Entry from Alexandria via LeMat-Bulk: a relaxed ReN crystal (PBE).

The space group is F-43m (No. 216) and the conventional cell measures 4.621, 4.621 and 4.621 Å, with angles of 90.00, 90.00 and 90.00 degrees. The asymmetric unit holds Re at (0.000, 0.000, 0.000) and N at (0.250, 0.250, 0.250).

The value obtained for the spin magnetization is 0.000 μB/atom. The calculation puts the raw formation energy at 11.386 kcal/mol of atoms. Its polymorph energy (0 for the lowest one) is 0.90 eV per formula unit.



(10)
Entry from Alexandria via LeMat-Bulk: a relaxed AcLuThTl crystal (PBE).

The space group is F-43m (No. 216) and the conventional cell measures 7.954, 7.954 and 7.954 Å, with angles of 90.00, 90.00 and 90.00 degrees. The asymmetric unit holds Ac at (0.000, 0.000, 0.000), Lu at (0.250, 0.250, 0.750), Th at (0.250, 0.250, 0.250) and Tl at (0.000, 0.000, 0.500).

The value obtained for the spin magnetization is 0.000 μB/atom. The calculation puts the formation energy at 14 kJ/mol of atoms.



(11)
Entry from Alexandria via LeMat-Bulk: a relaxed Sm3ErPa2N6 crystal (PBE).

The space group is C2/m (No. 12) and the conventional cell measures 6.099, 10.571 and 6.133 Å, with angles of 90.00, 109.33 and 90.00 degrees. The asymmetric unit holds Sm at (0.000, 0.000, 0.000), Sm at (0.000, 0.334, 0.000), Er at (0.000, 0.500, 0.500), Pa at (0.000, 0.167, 0.500), N at (0.233, 0.000, 0.724) and N at (0.246, 0.329, 0.723).

The value obtained for the spin magnetization is 0.000 μB/atom. The calculation puts the raw formation energy at -37.825 kcal/mol of atoms.



(12)
Entry from Alexandria via LeMat-Bulk: a relaxed NdDyGePd crystal (PBE).

The space group is F-43m (No. 216) and the conventional cell measures 7.213, 7.213 and 7.213 Å, with angles of 90.00, 90.00 and 90.00 degrees. The asymmetric unit holds Nd at (0.000, 0.000, 0.000), Dy at (0.000, 0.000, 0.500), Ge at (0.250, 0.250, 0.750) and Pd at (0.250, 0.250, 0.250).

The value obtained for the spin magnetization is 0.000 μB/atom. The calculation puts the formation energy at -73 kJ/mol of atoms. Its polymorph energy (0 for the lowest one) is 0.37 eV per formula unit.



> Look up the spin magnetization of the tenth one.

0.000 μB/atom



Please write out number 11 again, unchanged.
Entry from Alexandria via LeMat-Bulk: a relaxed Sm3ErPa2N6 crystal (PBE).

The space group is C2/m (No. 12) and the conventional cell measures 6.099, 10.571 and 6.133 Å, with angles of 90.00, 109.33 and 90.00 degrees. The asymmetric unit holds Sm at (0.000, 0.000, 0.000), Sm at (0.000, 0.334, 0.000), Er at (0.000, 0.500, 0.500), Pa at (0.000, 0.167, 0.500), N at (0.233, 0.000, 0.724) and N at (0.246, 0.329, 0.723).

The value obtained for the spin magnetization is 0.000 μB/atom. The calculation puts the raw formation energy at -37.825 kcal/mol of atoms.